! Co2Ni11 | the Open Quantum Materials Database | PBE | optimized geometry; values from VASP
! **M_tot**: 10.00 μB per cell
! **Relative energy among the computed polymorphs**: 0 meV per atom
! **SG**: No. 166
&SYSTEM
  ibrav = 0, nat = 13, ntyp = 2
/
ATOMIC_SPECIES
Co 58.93 Co.upf
Ni 58.69 Ni.upf
ATOMIC_POSITIONS angstrom
Co -0.127 10.901 0.213
Co -0.153 13.127 0.256
Ni 0.000 0.000 0.000
Ni 0.050 6.081 1.422
Ni -1.260 6.102 -0.427
Ni -0.046 3.989 0.078
Ni -0.098 8.372 0.163
Ni -1.277 17.895 1.106
Ni 0.997 6.132 -0.637
Ni -0.182 15.655 0.305
Ni -0.233 20.038 0.391
Ni -0.330 17.946 -0.953
Ni 0.980 17.926 0.896
CELL_PARAMETERS angstrom
-2.495 8.003 -0.948
0.152 7.961 2.788
2.063 8.064 -1.372